Material: TlZnHg
Method: DFT, PBE
State: optimized geometry

Unit cell a=4.783 b=4.783 c=4.783 alpha=60.00 beta=60.00 gamma=60.00
Atoms (fractional coordinates):
Hg 0.000 0.000 0.000
Tl 0.500 0.500 0.500
Zn 0.750 0.750 0.750

Calculated values
Crystal system   cubic
Calculated volume   25.8 Å³/atom
Energy relative to the elements   0.105 eV per atom
VASP energy   -1.2091 eV per atom